[1]
## Cd2CoPtI (PBE)

Data for a relaxed Cd2CoPtI crystal.

Cell lengths 5.1718, 5.1718, 4.5125 Å; angles 90.00, 90.00, 90.00 degrees
Space group P4/mmm (No. 123)
Inequivalent atoms, fractional coordinates:
Cd 0.0000 0.5000 0.0000 [2 per cell]
Co 0.0000 0.0000 0.0000 [1 per cell]
Pt 0.0000 0.0000 0.5000 [1 per cell]
I 0.5000 0.5000 0.5000 [1 per cell]

Summary:
* uncorrected energy: -2.795 eV per atom
* ΔE_f (raw): 2.55 eV per formula unit


[2]
## Ca3InAg (PBE)

Data for a relaxed Ca3InAg crystal.

Cell lengths 7.2684, 5.0986, 8.5007 Å; angles 90.00, 102.24, 90.00 degrees
Space group Pm (No. 6)
Inequivalent atoms, fractional coordinates:
Ca 0.0000 0.0000 0.0000 [1 per cell]
Ca 0.0130 0.5000 0.6462 [1 per cell]
Ca 0.2491 0.0000 0.4193 [1 per cell]
Ca 0.3984 0.5000 0.1550 [1 per cell]
Ca 0.4528 0.0000 0.8475 [1 per cell]
Ca 0.7307 0.0000 0.3208 [1 per cell]
In 0.5274 0.5000 0.5806 [1 per cell]
In 0.9685 0.5000 0.2332 [1 per cell]
Ag 0.7242 0.5000 0.9169 [1 per cell]
Ag 0.7579 0.0000 0.6683 [1 per cell]

Summary:
* uncorrected energy: -2.576 eV per atom
* ΔE_f: -257 meV/atom
* polymorph energy (0 for the lowest one): 53 meV/atom


Look up the uncorrected energy of the first one. -2.795 eV per atom


Which of these has the lowest uncorrected energy? Cd2CoPtI


uncorrected energy of number 2 (Ca3InAg)? -2.576 eV per atom